Compound: Sm3MgPb5
Source: Alexandria via LeMat-Bulk
Functional: GGA-PBE
Structure: relaxed

a b c (Å): 6.5157 9.5772 9.5772
angles (deg): 120.00 90.00 90.00
Positions (direct):
1 Pb 0.2500 0.0000 0.2819
2 Pb 0.7500 0.0000 0.7181
3 Pb 0.7500 0.2819 0.2819
4 Pb 0.5000 0.3333 0.6667
5 Pb 0.5000 0.6667 0.3333
6 Pb 0.0000 0.3333 0.6667
7 Pb 0.0000 0.6667 0.3333
8 Pb 0.2500 0.7181 0.7181
9 Pb 0.2500 0.2819 0.0000
10 Pb 0.7500 0.7181 0.0000
11 Sm 0.7500 0.3771 0.0000
12 Sm 0.7500 0.6229 0.6229
13 Sm 0.7500 0.0000 0.3771
14 Sm 0.2500 0.0000 0.6229
15 Sm 0.2500 0.3771 0.3771
16 Sm 0.2500 0.6229 0.0000
17 Mg 0.0000 0.0000 0.0000
18 Mg 0.5000 0.0000 0.0000

Calculated values
**SG**: No. 193
**Calculated formation energy**: -0.3698 eV/atom
**Crystal system**: hexagonal